No. 1
Material: Sc2TaFe
Method: DFT, PBE
State: optimized geometry

a = 4.2024 Å, b = 3.1058 Å, c = 5.8214 Å
α = 75.99°, β = 90.00°, γ = 90.00°
Last column: nearest neighbours and their distance in Å.
Fractional positions:
Fe: 0.5000 0.7414 0.7219  2 Ta 2.48, 3 Sc 2.67-2.70
Sc: 0.0000 0.9419 0.9682  2 Fe 2.70, 2 Ta 2.81-3.01
Sc: 0.5000 0.2384 0.2772  1 Fe 2.67, 2 Ta 2.92
Ta: 0.0000 0.5784 0.5328  2 Fe 2.48

Summary:
V ... 18.430 A^3/atom
E_tot ... -32.4 eV/cell
SG ... Pm, No. 6

=====

No. 2
Material: Sc2TaFe
Method: DFT, PBE
State: optimized geometry

a = 4.6144 Å, b = 4.6144 Å, c = 4.6144 Å
α = 120.09°, β = 120.09°, γ = 89.84°
Last column: nearest neighbours and their distance in Å.
Fractional positions:
Fe: 0.7500 0.2500 0.5000  4 Sc 2.82, 4 Ta 2.82
Sc: 0.0000 0.0000 0.0000  4 Fe 2.82, 4 Sc 2.82
Sc: 0.2500 0.7500 0.5000  4 Sc 2.82, 4 Ta 2.82
Ta: 0.5000 0.5000 0.0000  4 Fe 2.82, 4 Sc 2.82

Summary:
V ... 17.344 A^3/atom
E_tot ... -32.0 eV/cell
SG ... I-4m2, No. 119

=====

No. 3
Material: Sc2TaFe
Method: DFT, PBE
State: optimized geometry

a = 9.1003 Å, b = 9.1003 Å, c = 9.1003 Å
α = 19.35°, β = 19.35°, γ = 19.35°
Last column: nearest neighbours and their distance in Å.
Fractional positions:
Fe: 0.7500 0.7500 0.7500  6 Sc 2.60
Sc: 0.0120 0.0120 0.0120  3 Fe 2.60
Sc: 0.4880 0.4880 0.4880  3 Fe 2.60
Ta: 0.2500 0.2500 0.2500  6 Ta 3.06, 6 Sc 3.10

Summary:
V ... 18.082 A^3/atom
E_tot ... -32.0 eV/cell
SG ... R-3m, No. 166

=====

No. 4
Material: Sc2TaFe
Method: DFT, PBE
State: optimized geometry

a = 7.4811 Å, b = 7.4811 Å, c = 5.9300 Å
α = 50.89°, β = 50.89°, γ = 90.00°
Last column: nearest neighbours and their distance in Å.
Fractional positions:
Sc: 0.5658 0.1250 0.2500  2 Fe 2.45
Sc: 0.1842 0.6250 0.2500  2 Fe 2.45
Sc: 0.3750 0.4342 0.7500  2 Fe 2.45
Sc: 0.8750 0.8158 0.7500  2 Fe 2.45
Fe: 0.5000 0.5000 0.0000  4 Sc 2.45, 2 Ta 2.68
Fe: 0.2500 0.7500 0.5000  4 Sc 2.45, 2 Ta 2.68
Ta: 0.0000 0.0000 0.0000  2 Fe 2.68
Ta: 0.7500 0.2500 0.5000  2 Fe 2.68

Summary:
V ... 18.748 A^3/atom
E_tot ... -62.1 eV/cell
SG ... I-42d, No. 122

=====

No. 5
Material: Sc2TaFe
Method: DFT, PBE
State: optimized geometry

a = 4.3424 Å, b = 3.0502 Å, c = 5.6345 Å
α = 72.89°, β = 90.00°, γ = 90.00°
Last column: nearest neighbours and their distance in Å.
Fractional positions:
Fe: 0.5000 0.7500 0.7500  4 Sc 2.66, 2 Ta 2.78
Sc: 0.0000 0.9140 0.9827  2 Fe 2.66, 2 Sc 2.81-2.88
Sc: 0.0000 0.5860 0.5173  2 Fe 2.66, 2 Sc 2.81-2.88
Ta: 0.5000 0.2500 0.2500  2 Fe 2.78, 8 Sc 2.99-3.05, 2 Ta 3.05

Summary:
V ... 17.832 A^3/atom
E_tot ... -32.1 eV/cell
SG ... P2/m, No. 10

=====

No. 6
Material: ScTa4Fe
Method: DFT, PBE
State: optimized geometry

a = 5.4670 Å, b = 5.4670 Å, c = 5.4670 Å
α = 60.00°, β = 60.00°, γ = 60.00°
Last column: nearest neighbours and their distance in Å.
Fractional positions:
Sc: 0.0000 0.0000 0.0000  12 Ta 3.20, 4 Fe 3.35
Ta: 0.8777 0.3741 0.3741  6 Ta 2.71-2.75
Ta: 0.3741 0.3741 0.8777  6 Ta 2.71-2.75
Ta: 0.3741 0.8777 0.3741  6 Ta 2.71-2.75
Ta: 0.3741 0.3741 0.3741  6 Ta 2.71-2.75
Fe: 0.7500 0.7500 0.7500  12 Ta 3.21, 4 Sc 3.35

Summary:
V ... 19.257 A^3/atom
E_tot ... -59.7 eV/cell
SG ... F-43m, No. 216